{"formula": "CsAcV2O8", "functional": "PBE with a Hubbard U", "state": "optimized geometry", "m_tot_mub_per_fu": 2.02, "sg": "P-3, No. 147", "energy_ev_per_fu": -83.12, "lattice_angstrom": [[-2.818, 3.657, 4.051], [-2.601, -5.305, -1.676], [4.140, -4.112, 6.591]], "species": ["O", "V", "O", "O", "O", "Ac", "Cs", "O", "O", "O", "V", "O"], "fractional_positions": [[0.333, 0.667, 0.941], [0.667, 0.333, 0.254], [0.819, 0.175, 0.318], [0.356, 0.181, 0.318], [0.825, 0.644, 0.318], [0.000, 0.000, 0.500], [0.000, 0.000, 0.000], [0.175, 0.356, 0.682], [0.667, 0.333, 0.059], [0.181, 0.825, 0.682], [0.333, 0.667, 0.746], [0.644, 0.819, 0.682]]}